# 1
Crystalline SrZn6Cd2 at its relaxed geometry. Source: Alexandria, functional PBE.

Lattice parameters (Å, degrees): 7.511 7.511 7.511 147.50 122.54 67.58
Atoms (fractional coordinates):
Sr: 0.000 0.000 0.000
Zn: 0.013 0.312 0.701
Zn: 0.326 0.500 0.826
Zn: 0.389 0.688 0.701
Zn: 0.611 0.312 0.299
Zn: 0.674 0.500 0.174
Zn: 0.987 0.688 0.299
Cd: 0.375 0.875 0.500
Cd: 0.625 0.125 0.500

Calculated values
- ΔH_f (0 K): -62 meV/atom
- E_tot: -11.71 eV per cell

***

# 2
Crystalline HfSc2Ru3 at its relaxed geometry. Source: Alexandria, functional PBE.

Lattice parameters (Å, degrees): 4.550 4.550 11.162 90.00 90.00 120.00
Atoms (fractional coordinates):
Hf: 0.333 0.667 0.168
Hf: 0.667 0.333 0.832
Sc: 0.000 0.000 0.000
Sc: 0.000 0.000 0.500
Sc: 0.333 0.667 0.664
Sc: 0.667 0.333 0.336
Ru: 0.000 0.000 0.248
Ru: 0.000 0.000 0.752
Ru: 0.333 0.667 0.414
Ru: 0.333 0.667 0.917
Ru: 0.667 0.333 0.083
Ru: 0.667 0.333 0.586

Calculated values
- ΔH_f (0 K): -668 meV/atom
- E_tot: -108.90 eV per cell

***

# 3
Crystalline Sr3MgMn at its relaxed geometry. Source: Alexandria, functional PBE.

Lattice parameters (Å, degrees): 5.749 5.749 5.749 90.00 90.00 90.00
Atoms (fractional coordinates):
Sr: 0.000 0.000 0.500
Sr: 0.000 0.500 0.000
Sr: 0.500 0.000 0.000
Mg: 0.500 0.500 0.500
Mn: 0.000 0.000 0.000

Calculated values
- ΔH_f (0 K): 662 meV/atom
- E_tot: -12.50 eV per cell

***

| no. | D(E_F) (states/eV/f.u.) |
| --- | --- |
| 1 | 2.8 |
| 2 | 5.4 |
| 3 | 13.4 |